Record 1
{
  "formula": "RbTlInCl6",
  "functional": "GGA-PBE",
  "state": "relaxed",
  "sg": "P312 (149)",
  "n_ef_per_ev_fu": 6.5,
  "raw_formation_energy_ev_per_atom": -1.167,
  "crystal_system": "trigonal",
  "lattice_angstrom": [[7.154, -0.001, -0.006], [3.576, 6.195, 0.002], [0.005, -0.004, 7.109]],
  "species": ["Rb", "Cl", "Cl", "Cl", "Cl", "Cl", "Cl", "Tl", "In"],
  "frac_coords": [[0.000, 0.000, 0.000], [0.356, 0.611, 0.287], [0.611, 0.356, 0.713], [0.033, 0.356, 0.287], [0.611, 0.033, 0.287], [0.356, 0.033, 0.713], [0.033, 0.611, 0.713], [0.667, 0.667, 0.500], [0.333, 0.333, 0.500]]
}

---

Record 2
{
  "formula": "TlS2N",
  "functional": "GGA-PBE",
  "state": "relaxed",
  "sg": "R-3m (166)",
  "n_ef_per_ev_fu": 2.0,
  "raw_formation_energy_ev_per_atom": 1.214,
  "crystal_system": "trigonal",
  "de_polymorph_mev_per_atom": 754,
  "lattice_angstrom": [[-6.732, 5.398, -1.840], [-6.179, 6.184, 1.188], [-4.474, 7.519, -1.137]],
  "species": ["S", "S", "Tl", "N"],
  "frac_coords": [[0.883, 0.883, 0.883], [0.117, 0.117, 0.117], [0.000, 0.000, 0.000], [0.500, 0.500, 0.500]]
}

---

Record 3
{
  "formula": "Be2Hg2Sb",
  "functional": "GGA-PBE",
  "state": "relaxed",
  "sg": "P4/mbm (127)",
  "n_ef_per_ev_fu": 1.4,
  "raw_formation_energy_ev_per_atom": 0.540,
  "crystal_system": "tetragonal",
  "de_polymorph_mev_per_atom": 76,
  "lattice_angstrom": [[-5.525, 1.972, -5.050], [-5.023, -4.575, 3.708], [-0.831, 2.413, 1.852]],
  "species": ["Be", "Be", "Be", "Be", "Sb", "Sb", "Hg", "Hg", "Hg", "Hg"],
  "frac_coords": [[0.683, 0.183, 0.000], [0.183, 0.317, 0.000], [0.817, 0.683, 0.000], [0.317, 0.817, 0.000], [0.500, 0.500, 0.000], [0.000, 0.000, 0.000], [0.868, 0.368, 0.500], [0.132, 0.632, 0.500], [0.368, 0.132, 0.500], [0.632, 0.868, 0.500]]
}

---

Record 4
{
  "formula": "Be3AlPt",
  "functional": "GGA-PBE",
  "state": "relaxed",
  "sg": "Pm-3m (221)",
  "n_ef_per_ev_fu": 1.5,
  "crystal_system": "cubic",
  "de_polymorph_mev_per_atom": 0,
  "lattice_angstrom": [[4.275, 0.000, 0.000], [0.000, 4.275, 0.000], [0.000, 0.000, 4.275]],
  "species": ["Be", "Be", "Be", "Al", "Pt"],
  "frac_coords": [[0.000, 0.000, 0.500], [0.500, 0.000, 0.000], [0.000, 0.500, 0.000], [0.500, 0.500, 0.500], [0.000, 0.000, 0.000]]
}

---

Record 5
{
  "formula": "ZnWCl",
  "functional": "GGA-PBE",
  "state": "relaxed",
  "sg": "I4mm (107)",
  "n_ef_per_ev_fu": 1.4,
  "raw_formation_energy_ev_per_atom": 0.451,
  "crystal_system": "tetragonal",
  "de_polymorph_mev_per_atom": 229,
  "lattice_angstrom": [[-1.773, 1.894, -6.343], [-0.732, -2.116, -6.477], [-0.713, -0.412, 6.804]],
  "species": ["W", "Cl", "Zn"],
  "frac_coords": [[0.334, 0.334, 0.000], [0.962, 0.962, 0.000], [0.704, 0.704, 0.000]]
}

---

Record 6
{
  "formula": "La2MgSc",
  "functional": "GGA-PBE",
  "state": "relaxed",
  "sg": "C2/m (12)",
  "final_energy_ev_per_cell": -17.48,
  "n_ef_per_ev_fu": 5.0,
  "crystal_system": "monoclinic",
  "lattice_angstrom": [[-0.904, -3.891, -4.552], [2.400, -2.613, -4.908], [2.202, -5.024, 2.404]],
  "species": ["Sc", "La", "La", "Mg"],
  "frac_coords": [[0.750, 0.750, 0.750], [0.505, 0.505, 0.495], [0.995, 0.995, 0.005], [0.250, 0.250, 0.250]]
}